Entry 1:
## Pm3Ho12Zr (PBE)

Data for a geometry-optimized Pm3Ho12Zr structure.

## Properties
The volume comes out at 495.8 Å³/cell. As for the space-group type: No. 123. The calculation puts the formation energy at 37 meV/atom.

Unit cell a=4.984 b=4.984 c=19.956 alpha=90.00 beta=90.00 gamma=90.00
Atoms (fractional coordinates):
Ho: 0.000 0.500 0.373
Ho: 0.000 0.500 0.116
Ho: 0.500 0.500 0.000
Ho: 0.500 0.500 0.754
Ho: 0.000 0.500 0.884
Ho: 0.500 0.000 0.884
Ho: 0.500 0.500 0.246
Ho: 0.500 0.000 0.373
Ho: 0.500 0.000 0.627
Ho: 0.000 0.500 0.627
Ho: 0.500 0.000 0.116
Ho: 0.500 0.500 0.500
Pm: 0.000 0.000 0.247
Pm: 0.000 0.000 0.753
Pm: 0.000 0.000 0.500
Zr: 0.000 0.000 0.000



Entry 2:
## Pm2Ho12Zr (PBE)

Data for a geometry-optimized Pm2Ho12Zr structure.

## Properties
The volume comes out at 940.8 Å³/cell. As for the space-group type: No. 12. The calculation puts the formation energy at 148 meV/atom.

Unit cell a=6.639 b=6.639 c=23.938 alpha=86.42 beta=93.58 gamma=63.88
Atoms (fractional coordinates):
Ho: 0.739 0.761 0.120
Ho: 0.241 0.259 0.119
Ho: 0.991 0.006 0.195
Ho: 0.761 0.739 0.880
Ho: 0.509 0.494 0.805
Ho: 0.443 0.558 0.673
Ho: 0.353 0.647 0.444
Ho: 0.845 0.655 0.425
Ho: 0.006 0.991 0.805
Ho: 0.259 0.241 0.881
Ho: 0.647 0.353 0.556
Ho: 0.655 0.845 0.575
Ho: 0.147 0.853 0.556
Ho: 0.942 0.057 0.673
Ho: 0.853 0.147 0.444
Ho: 0.154 0.346 0.574
Ho: 0.558 0.443 0.327
Ho: 0.680 0.325 0.065
Ho: 0.494 0.509 0.195
Ho: 0.820 0.175 0.935
Ho: 0.346 0.154 0.426
Ho: 0.325 0.680 0.935
Ho: 0.057 0.942 0.327
Ho: 0.175 0.820 0.065
Pm: 0.033 0.467 0.267
Pm: 0.966 0.534 0.733
Pm: 0.534 0.966 0.267
Pm: 0.467 0.033 0.733
Zr: 0.484 0.016 0.002
Zr: 0.016 0.484 0.998



Entry 3:
## Pm12Ho6Zr (PBE)

Data for a geometry-optimized Pm12Ho6Zr structure.

## Properties
The volume comes out at 618.2 Å³/cell. As for the space-group type: No. 148. The calculation puts the formation energy at 35 meV/atom.

Unit cell a=9.480 b=9.480 c=9.480 alpha=110.92 beta=110.92 gamma=110.92
Atoms (fractional coordinates):
Zr: 0.000 0.000 0.000
Pm: 0.417 0.626 0.943
Pm: 0.846 0.258 0.898
Pm: 0.898 0.846 0.258
Pm: 0.154 0.742 0.102
Pm: 0.943 0.417 0.626
Pm: 0.374 0.057 0.583
Pm: 0.102 0.154 0.742
Pm: 0.258 0.898 0.846
Pm: 0.742 0.102 0.154
Pm: 0.583 0.374 0.057
Pm: 0.057 0.583 0.374
Pm: 0.626 0.943 0.417
Ho: 0.791 0.689 0.536
Ho: 0.536 0.791 0.689
Ho: 0.209 0.311 0.464
Ho: 0.311 0.464 0.209
Ho: 0.464 0.209 0.311
Ho: 0.689 0.536 0.791



Entry 4:
## PmHo2Zr (PBE)

Data for a geometry-optimized PmHo2Zr structure.

## Properties
The volume comes out at 118.1 Å³/cell. As for the space-group type: No. 225. As for the offset from the most stable computed form: 13.9 kJ/mol of atoms. The calculation puts the formation energy at 222 meV/atom.

Unit cell a=5.507 b=5.507 c=5.507 alpha=60.00 beta=60.00 gamma=60.00
Site moments in Bohr magnetons follow the coordinates.
Atoms (fractional coordinates):
Pm: 0.000 0.000 0.000  0.01
Zr: 0.500 0.500 0.500  0.69
Ho: 0.750 0.750 0.750  0.22
Ho: 0.250 0.250 0.250  0.22



Entry 5:
## Pm2Ho6Zr (PBE)

Data for a geometry-optimized Pm2Ho6Zr structure.

## Properties
The volume comes out at 273.2 Å³/cell. As for the space-group type: No. 12. The calculation puts the formation energy at 108 meV/atom.

Unit cell a=3.413 b=9.606 c=10.216 alpha=118.04 beta=70.31 gamma=90.00
Atoms (fractional coordinates):
Pm: 0.666 0.667 0.334
Pm: 0.334 0.333 0.666
Zr: 0.000 0.000 0.000
Ho: 0.175 0.325 0.325
Ho: 0.500 0.675 0.000
Ho: 0.825 0.675 0.675
Ho: 0.175 0.000 0.325
Ho: 0.825 0.000 0.675
Ho: 0.500 0.325 0.000



Entry 6:
## PmHo2Zr (PBE)

Data for a geometry-optimized PmHo2Zr structure.

## Properties
The volume comes out at 116.5 Å³/cell. As for the space-group type: No. 123. As for the offset from the most stable computed form: 2.3 kJ/mol of atoms. The calculation puts the formation energy at 102 meV/atom.

Unit cell a=4.891 b=4.881 c=4.881 alpha=90.00 beta=90.00 gamma=90.00
Atoms (fractional coordinates):
Pm: 0.500 0.500 0.500
Ho: 0.000 0.000 0.500
Ho: 0.000 0.500 0.000
Zr: 0.500 0.000 0.000



Entry 7:
## PrHo4 (PBE)

Data for a geometry-optimized PrHo4 structure.

## Properties
The volume comes out at 178.5 Å³/cell. As for the space-group type: No. 221. As for the offset from the most stable computed form: 65.8 kJ/mol of atoms. The calculation puts the formation energy at 702 meV/atom.

Unit cell a=5.631 b=5.631 c=5.631 alpha=90.00 beta=90.00 gamma=90.00
Atoms (fractional coordinates):
Ho: 0.000 0.500 0.500
Ho: 0.000 0.000 0.000
Ho: 0.500 0.000 0.500
Ho: 0.500 0.500 0.000
Pr: 0.500 0.500 0.500



Entry 8:
## Pr2Ho (PBE)

Data for a geometry-optimized Pr2Ho structure.

## Properties
The volume comes out at 103.7 Å³/cell. As for the space-group type: No. 139. As for the offset from the most stable computed form: 2.2 kJ/mol of atoms. The calculation puts the formation energy at 25 meV/atom.

Unit cell a=3.662 b=3.662 c=8.153 alpha=102.98 beta=102.98 gamma=90.00
Atoms (fractional coordinates):
Ho: 0.000 0.000 0.000
Pr: 0.664 0.664 0.328
Pr: 0.336 0.336 0.672



Entry 9:
## Pr7Ho5 (PBE)

Data for a geometry-optimized Pr7Ho5 structure.

## Properties
The volume comes out at 414.2 Å³/cell. As for the space-group type: No. 12. As for the offset from the most stable computed form: 14.2 kJ/mol of atoms. The calculation puts the formation energy at 158 meV/atom.

Unit cell a=5.855 b=5.702 c=14.888 alpha=101.79 beta=90.00 gamma=120.89
Atoms (fractional coordinates):
Pr: 0.317 0.634 0.918
Pr: 0.042 0.085 0.213
Pr: 0.958 0.915 0.787
Pr: 0.238 0.476 0.670
Pr: 0.500 0.000 0.500
Pr: 0.762 0.524 0.330
Pr: 0.683 0.366 0.082
Ho: 0.141 0.281 0.440
Ho: 0.859 0.719 0.560
Ho: 0.622 0.244 0.800
Ho: 0.378 0.756 0.200
Ho: 0.000 0.000 0.000



Entry 10:
## Pr3Ho7 (PBE)

Data for a geometry-optimized Pr3Ho7 structure.

## Properties
The volume comes out at 324.7 Å³/cell. As for the space-group type: No. 12. As for the offset from the most stable computed form: 0.0 kJ/mol of atoms. The calculation puts the formation energy at 23 meV/atom.

Unit cell a=5.071 b=7.153 c=10.714 alpha=119.73 beta=103.69 gamma=90.00
Atoms (fractional coordinates):
Ho: 0.600 0.399 0.200
Ho: 0.401 0.102 0.802
Ho: 0.800 0.700 0.600
Ho: 0.400 0.601 0.800
Ho: 0.599 0.898 0.198
Ho: 0.200 0.300 0.400
Ho: 0.000 0.500 0.000
Pr: 0.801 0.204 0.603
Pr: 0.199 0.796 0.397
Pr: 0.000 0.000 0.000



Entry 11:
## PrHo (PBE)

Data for a geometry-optimized PrHo structure.

## Properties
The volume comes out at 67.7 Å³/cell. As for the space-group type: No. 187. As for the offset from the most stable computed form: 2.4 kJ/mol of atoms. The calculation puts the formation energy at 37 meV/atom.

Unit cell a=3.665 b=3.665 c=5.817 alpha=90.00 beta=90.00 gamma=120.00
Atoms (fractional coordinates):
Ho: 0.333 0.667 0.500
Pr: 0.000 0.000 0.000



Entry 12:
## PrHo (PBE)

Data for a geometry-optimized PrHo structure.

## Properties
The volume comes out at 67.6 Å³/cell. As for the space-group type: No. 221. As for the offset from the most stable computed form: 8.8 kJ/mol of atoms. The calculation puts the formation energy at 104 meV/atom.

Unit cell a=4.074 b=4.074 c=4.074 alpha=90.00 beta=90.00 gamma=90.00
Atoms (fractional coordinates):
Ho: 0.000 0.000 0.000
Pr: 0.500 0.500 0.500



Entry 13:
## PrHo (PBE)

Data for a geometry-optimized PrHo structure.

## Properties
The volume comes out at 134.7 Å³/cell. As for the space-group type: No. 166. As for the offset from the most stable computed form: 0.0 kJ/mol of atoms. The calculation puts the formation energy at 12 meV/atom.

Unit cell a=3.644 b=3.644 c=11.902 alpha=89.99 beta=98.82 gamma=120.01
Atoms (fractional coordinates):
Ho: 0.746 0.873 0.619
Ho: 0.254 0.127 0.381
Pr: 0.421 0.710 0.131
Pr: 0.579 0.290 0.869



Entry 14:
## PrHo (PBE)

Data for a geometry-optimized PrHo structure.

## Properties
The volume comes out at 135.9 Å³/cell. As for the space-group type: No. 51. As for the offset from the most stable computed form: 1.5 kJ/mol of atoms. The calculation puts the formation energy at 27 meV/atom.

Unit cell a=3.696 b=5.818 c=6.322 alpha=90.00 beta=90.00 gamma=90.00
Atoms (fractional coordinates):
Ho: 0.000 0.500 0.338
Ho: 0.000 0.000 0.006
Pr: 0.500 0.000 0.502
Pr: 0.500 0.500 0.842



Entry 15:
## Pr3Ho5 (PBE)

Data for a geometry-optimized Pr3Ho5 structure.

## Properties
The volume comes out at 262.9 Å³/cell. As for the space-group type: No. 65. As for the offset from the most stable computed form: 0.0 kJ/mol of atoms. The calculation puts the formation energy at 21 meV/atom.

Unit cell a=5.086 b=7.189 c=7.189 alpha=90.50 beta=90.00 gamma=90.00
Atoms (fractional coordinates):
Ho: 0.500 0.751 0.751
Ho: 0.000 0.500 0.000
Ho: 0.000 0.000 0.000
Ho: 0.500 0.249 0.249
Ho: 0.000 0.000 0.500
Pr: 0.500 0.753 0.247
Pr: 0.000 0.500 0.500
Pr: 0.500 0.247 0.753



Entry 16:
## Pr2Ho5 (PBE)

Data for a geometry-optimized Pr2Ho5 structure.

## Properties
The volume comes out at 460.5 Å³/cell. As for the space-group type: No. 15. The calculation puts the formation energy at 17 meV/atom.

Unit cell a=6.308 b=9.264 c=8.524 alpha=95.34 beta=111.72 gamma=90.00
Atoms (fractional coordinates):
Ho: 0.019 0.035 0.709
Ho: 0.164 0.750 0.000
Ho: 0.547 0.821 0.428
Ho: 0.881 0.321 0.428
Ho: 0.836 0.250 0.000
Ho: 0.310 0.465 0.291
Ho: 0.453 0.179 0.572
Ho: 0.981 0.965 0.291
Ho: 0.119 0.679 0.572
Ho: 0.690 0.535 0.709
Pr: 0.259 0.392 0.854
Pr: 0.741 0.608 0.146
Pr: 0.595 0.892 0.854
Pr: 0.405 0.108 0.146



Entry 17:
## Pr7Ho5 (PBE)

Data for a geometry-optimized Pr7Ho5 structure.

## Properties
The volume comes out at 408.0 Å³/cell. As for the space-group type: No. 12. As for the offset from the most stable computed form: 0.0 kJ/mol of atoms. The calculation puts the formation energy at 11 meV/atom.

Unit cell a=3.661 b=9.632 c=12.337 alpha=73.73 beta=81.47 gamma=79.04
Atoms (fractional coordinates):
Pr: 0.029 0.693 0.250
Pr: 0.668 0.669 0.996
Pr: 0.360 0.027 0.252
Pr: 0.332 0.331 0.004
Pr: 0.640 0.973 0.748
Pr: 0.971 0.307 0.750
Pr: 0.500 0.500 0.500
Ho: 0.831 0.835 0.503
Ho: 0.306 0.641 0.747
Ho: 0.694 0.359 0.253
Ho: 0.000 0.000 0.000
Ho: 0.169 0.165 0.497



Entry 18:
## Pr5Ho2 (PBE)

Data for a geometry-optimized Pr5Ho2 structure.

## Properties
The volume comes out at 243.3 Å³/cell. As for the space-group type: No. 166. As for the offset from the most stable computed form: 0.0 kJ/mol of atoms. The calculation puts the formation energy at 133 meV/atom.

Unit cell a=5.837 b=5.837 c=8.908 alpha=70.87 beta=70.87 gamma=60.00
Atoms (fractional coordinates):
Pr: 0.068 0.068 0.796
Pr: 0.932 0.932 0.204
Pr: 0.792 0.792 0.623
Pr: 0.208 0.208 0.377
Pr: 0.500 0.500 0.500
Ho: 0.652 0.652 0.043
Ho: 0.348 0.348 0.957



Entry 19:
## Pr5Ho2 (PBE)

Data for a geometry-optimized Pr5Ho2 structure.

## Properties
The volume comes out at 252.3 Å³/cell. As for the space-group type: No. 12. As for the offset from the most stable computed form: 4.9 kJ/mol of atoms. The calculation puts the formation energy at 183 meV/atom.

Unit cell a=3.578 b=8.759 c=8.429 alpha=84.40 beta=77.75 gamma=78.22
Atoms (fractional coordinates):
Pr: 0.371 0.362 0.896
Pr: 0.000 0.000 0.000
Pr: 0.838 0.670 0.653
Pr: 0.629 0.638 0.104
Pr: 0.162 0.330 0.347
Ho: 0.361 0.914 0.364
Ho: 0.639 0.086 0.636



Entry 20:
## Pr4Ho3 (PBE)

Data for a geometry-optimized Pr4Ho3 structure.

## Properties
The volume comes out at 240.4 Å³/cell. As for the space-group type: No. 12. As for the offset from the most stable computed form: 2.4 kJ/mol of atoms. The calculation puts the formation energy at 130 meV/atom.

Unit cell a=3.532 b=8.902 c=9.321 alpha=122.66 beta=100.92 gamma=90.00
Atoms (fractional coordinates):
Ho: 0.780 0.702 0.559
Ho: 0.220 0.298 0.441
Ho: 0.000 0.000 0.000
Pr: 0.361 0.128 0.721
Pr: 0.639 0.872 0.279
Pr: 0.920 0.547 0.840
Pr: 0.080 0.453 0.160



Entry 21:
## Pr13Ho2 (PBE)

Data for a geometry-optimized Pr13Ho2 structure.

## Properties
The volume comes out at 545.7 Å³/cell. As for the space-group type: No. 166. As for the offset from the most stable computed form: 7.9 kJ/mol of atoms. The calculation puts the formation energy at 136 meV/atom.

Unit cell a=7.280 b=7.280 c=12.611 alpha=73.22 beta=73.22 gamma=60.00
Atoms (fractional coordinates):
Pr: 0.047 0.542 0.364
Pr: 0.212 0.706 0.871
Pr: 0.458 0.953 0.636
Pr: 0.294 0.788 0.129
Pr: 0.953 0.953 0.636
Pr: 0.788 0.788 0.129
Pr: 0.788 0.294 0.129
Pr: 0.500 0.500 0.500
Pr: 0.212 0.212 0.871
Pr: 0.047 0.047 0.364
Pr: 0.953 0.458 0.636
Pr: 0.706 0.212 0.871
Pr: 0.542 0.047 0.364
Ho: 0.706 0.706 0.882
Ho: 0.294 0.294 0.118



Entry 22:
## Pr2Ho (PBE)

Data for a geometry-optimized Pr2Ho structure.

## Properties
The volume comes out at 208.9 Å³/cell. As for the space-group type: No. 12. As for the offset from the most stable computed form: 2.9 kJ/mol of atoms. The calculation puts the formation energy at 32 meV/atom.

Unit cell a=3.700 b=8.701 c=6.940 alpha=103.58 beta=105.46 gamma=90.00
Atoms (fractional coordinates):
Ho: 0.640 0.024 0.280
Ho: 0.360 0.976 0.720
Pr: 0.693 0.642 0.386
Pr: 0.030 0.297 0.060
Pr: 0.970 0.703 0.940
Pr: 0.307 0.358 0.614



Entry 23:
## Pr8Ho (PBE)

Data for a geometry-optimized Pr8Ho structure.

## Properties
The volume comes out at 320.9 Å³/cell. As for the space-group type: No. 139. The calculation puts the formation energy at 14 meV/atom.

Unit cell a=5.228 b=8.260 c=8.260 alpha=84.25 beta=71.55 gamma=71.55
Atoms (fractional coordinates):
Pr: 0.332 0.668 0.668
Pr: 0.335 0.000 0.331
Pr: 0.335 0.331 0.000
Pr: 0.000 0.332 0.668
Pr: 0.668 0.332 0.332
Pr: 0.665 0.000 0.669
Pr: 0.000 0.668 0.332
Pr: 0.665 0.669 0.000
Ho: 0.000 0.000 0.000